Compound: ZrZn5Ag4
Source: the Alexandria database
Functional: PBE
Structure: relaxed

energy of formation from the pure elements: -86 meV per atom
M_tot: 0.00 μB/f.u.

a = 3.1691 Å, b = 3.1691 Å, c = 16.5951 Å
α = 90.00°, β = 90.00°, γ = 90.00°
Closest atoms and distances in Å follow each position.
Sites, in units of the cell vectors:
Zr  0.0000  0.0000  0.0000  8 Zn 2.93, 4 Zr 3.17
Zn  0.5000  0.5000  0.1136  4 Ag 2.75, 4 Zr 2.93
Zn  0.5000  0.5000  0.3071  8 Ag 2.75-2.76
Zn  0.5000  0.5000  0.5000  8 Ag 2.76
Zn  0.5000  0.5000  0.6929  8 Ag 2.75-2.76
Zn  0.5000  0.5000  0.8864  4 Ag 2.75, 4 Zr 2.93
Ag  0.0000  0.0000  0.2098  8 Zn 2.75-2.76
Ag  0.0000  0.0000  0.4033  8 Zn 2.75-2.76
Ag  0.0000  0.0000  0.5967  8 Zn 2.75-2.76
Ag  0.0000  0.0000  0.7902  8 Zn 2.75-2.76


Compound: BeCr2IrW
Source: the Alexandria database
Functional: PBE
Structure: relaxed

energy of formation from the pure elements: 493 meV per atom
M_tot: 1.91 μB/f.u.

a = 4.0049 Å, b = 4.0049 Å, c = 4.0254 Å
α = 90.00°, β = 90.00°, γ = 90.00°
Closest atoms and distances in Å follow each position.
Sites, in units of the cell vectors:
Be  0.0000  0.0000  0.0000  4 Cr 2.00, 2 Ir 2.01
Cr  0.0000  0.5000  0.0000  2 Be 2.00
Cr  0.5000  0.0000  0.0000  2 Be 2.00
Ir  0.0000  0.0000  0.5000  2 Be 2.01
W  0.5000  0.5000  0.5000  4 Ir 2.83, 8 Cr 2.84


Compound: Li3Sc2MnS6
Source: the Alexandria database
Functional: PBE
Structure: relaxed

M_tot: 4.00 μB/f.u.
energy relative to the elements, uncorrected: -1445 meV/atom

a = 6.3156 Å, b = 6.3156 Å, c = 6.4007 Å
α = 99.15°, β = 99.15°, γ = 120.41°
Closest atoms and distances in Å follow each position.
Sites, in units of the cell vectors:
Li  0.0000  0.0000  0.0000  6 S 2.60-2.74
Li  0.3341  0.6659  0.0000  6 S 2.59-2.68
Li  0.6659  0.3341  0.0000  6 S 2.59-2.68
Sc  0.1684  0.8316  0.5000  6 S 2.56-2.59
Sc  0.8316  0.1684  0.5000  6 S 2.56-2.59
Mn  0.5000  0.5000  0.5000  6 S 2.41-2.52
S  0.0939  0.4179  0.2584  1 Mn 2.52, 2 Sc 2.56-2.58, 3 Li 2.59-2.68
S  0.2614  0.2614  0.7302  1 Mn 2.41, 2 Sc 2.59, 2 Li 2.62
S  0.4179  0.0939  0.2584  1 Mn 2.52, 2 Sc 2.56-2.58, 3 Li 2.59-2.68
S  0.5821  0.9061  0.7416  1 Mn 2.52, 2 Sc 2.56-2.58, 3 Li 2.59-2.68
S  0.7386  0.7386  0.2698  1 Mn 2.41, 2 Sc 2.59, 2 Li 2.62
S  0.9061  0.5821  0.7416  1 Mn 2.52, 2 Sc 2.56-2.58, 3 Li 2.59-2.68


Compound: GaFeTc2C
Source: the Alexandria database
Functional: PBE
Structure: relaxed

energy of formation from the pure elements: 17 meV per atom
M_tot: 1.74 μB/f.u.

a = 4.0877 Å, b = 4.0877 Å, c = 3.7689 Å
α = 90.00°, β = 90.00°, γ = 90.00°
Closest atoms and distances in Å follow each position.
Sites, in units of the cell vectors:
Ga  0.0000  0.0000  0.0000  8 Tc 2.78, 4 Fe 2.89
Fe  0.5000  0.5000  0.0000  2 C 1.88
Tc  0.0000  0.5000  0.5000  2 C 2.04
Tc  0.5000  0.0000  0.5000  2 C 2.04
C  0.5000  0.5000  0.5000  2 Fe 1.88, 4 Tc 2.04


Compound: Zn4Ni9Pt11
Source: the Alexandria database
Functional: PBE
Structure: relaxed

energy of formation from the pure elements: -111 meV per atom
M_tot: 8.09 μB/f.u.

a = 10.0918 Å, b = 10.0918 Å, c = 3.5470 Å
α = 90.00°, β = 90.00°, γ = 111.71°
Closest atoms and distances in Å follow each position.
Sites, in units of the cell vectors:
Zn  0.0563  0.2427  0.0000  1 Ni 2.30, 2 Pt 2.53
Zn  0.2427  0.0563  0.0000  1 Ni 2.30, 2 Pt 2.53
Zn  0.7573  0.9437  0.0000  1 Ni 2.30, 2 Pt 2.53
Zn  0.9437  0.7573  0.0000  1 Ni 2.30, 2 Pt 2.53
Ni  0.0000  0.0000  0.0000  4 Zn 2.30
Ni  0.1294  0.6355  0.0000  1 Zn 2.59, 8 Pt 2.63-2.72, 2 Ni 2.66-2.83
Ni  0.2986  0.4663  0.0000  8 Pt 2.62-2.69, 1 Zn 2.64, 3 Ni 2.66-2.83
Ni  0.3645  0.8706  0.0000  1 Zn 2.59, 8 Pt 2.63-2.72, 2 Ni 2.66-2.83
Ni  0.4663  0.2986  0.0000  8 Pt 2.62-2.69, 1 Zn 2.64, 3 Ni 2.66-2.83
Ni  0.5337  0.7014  0.0000  8 Pt 2.62-2.69, 1 Zn 2.64, 3 Ni 2.66-2.83
Ni  0.6355  0.1294  0.0000  1 Zn 2.59, 8 Pt 2.63-2.72, 2 Ni 2.66-2.83
Ni  0.7014  0.5337  0.0000  8 Pt 2.62-2.69, 1 Zn 2.64, 3 Ni 2.66-2.83
Ni  0.8706  0.3645  0.0000  1 Zn 2.59, 8 Pt 2.63-2.72, 2 Ni 2.66-2.83
Pt  0.0898  0.4315  0.5000  2 Zn 2.53, 6 Ni 2.63-2.72, 2 Pt 2.65-2.71
Pt  0.1553  0.8447  0.5000  4 Zn 2.66, 4 Ni 2.69, 3 Pt 2.94-2.96
Pt  0.2535  0.2535  0.5000  4 Zn 2.64, 4 Ni 2.69, 3 Pt 2.79-2.86
Pt  0.3312  0.6688  0.5000  8 Ni 2.63, 4 Pt 2.71-2.94
Pt  0.4315  0.0898  0.5000  2 Zn 2.53, 6 Ni 2.63-2.72, 2 Pt 2.65-2.71
Pt  0.5000  0.5000  0.5000  8 Ni 2.62, 4 Pt 2.79-2.82
Pt  0.5685  0.9102  0.5000  2 Zn 2.53, 6 Ni 2.63-2.72, 2 Pt 2.65-2.71
Pt  0.6688  0.3312  0.5000  8 Ni 2.63, 4 Pt 2.71-2.94
Pt  0.7465  0.7465  0.5000  4 Zn 2.64, 4 Ni 2.69, 3 Pt 2.79-2.86
Pt  0.8447  0.1553  0.5000  4 Zn 2.66, 4 Ni 2.69, 3 Pt 2.94-2.96
Pt  0.9102  0.5685  0.5000  2 Zn 2.53, 6 Ni 2.63-2.72, 2 Pt 2.65-2.71


Compound: LiNpO3
Source: the Alexandria database
Functional: PBE
Structure: relaxed

M_tot: 2.00 μB/f.u.
energy relative to the elements, uncorrected: -2497 meV/atom

a = 4.2386 Å, b = 4.2386 Å, c = 4.2386 Å
α = 90.00°, β = 90.00°, γ = 90.00°
Closest atoms and distances in Å follow each position.
Sites, in units of the cell vectors:
Li  0.0000  0.0000  0.0000  12 O 3.00
Np  0.5000  0.5000  0.5000  6 O 2.12
O  0.0000  0.5000  0.5000  2 Np 2.12
O  0.5000  0.0000  0.5000  2 Np 2.12
O  0.5000  0.5000  0.0000  2 Np 2.12


Compound: NdGdCo2
Source: the Alexandria database
Functional: PBE
Structure: relaxed

energy of formation from the pure elements: -1 meV per atom
M_tot: 7.83 μB/f.u.
offset from the most stable computed form: 2.23 kJ/mol of atoms

a = 4.8251 Å, b = 4.8251 Å, c = 3.4239 Å
α = 90.00°, β = 90.00°, γ = 90.00°
Closest atoms and distances in Å follow each position.
Sites, in units of the cell vectors:
Nd  0.0000  0.0000  0.0000  8 Co 2.96
Gd  0.5000  0.5000  0.0000  8 Co 2.96
Co  0.0000  0.5000  0.5000  4 Gd 2.96, 4 Nd 2.96
Co  0.5000  0.0000  0.5000  4 Gd 2.96, 4 Nd 2.96


Compound: Zr3Zn2Ag
Source: the Alexandria database
Functional: PBE
Structure: relaxed

energy of formation from the pure elements: -179 meV per atom
M_tot: 0.00 μB/f.u.

a = 3.3064 Å, b = 3.3064 Å, c = 10.5586 Å
α = 90.00°, β = 90.00°, γ = 90.00°
Closest atoms and distances in Å follow each position.
Sites, in units of the cell vectors:
Zr  0.0000  0.0000  0.0000  8 Zn 2.90
Zr  0.0000  0.0000  0.3212  4 Zn 2.88, 4 Ag 3.00
Zr  0.0000  0.0000  0.6788  4 Zn 2.88, 4 Ag 3.00
Zn  0.5000  0.5000  0.1622  8 Zr 2.88-2.90
Zn  0.5000  0.5000  0.8378  8 Zr 2.88-2.90
Ag  0.5000  0.5000  0.5000  8 Zr 3.00, 4 Ag 3.31


Compound: HoPuPaAl
Source: the Alexandria database
Functional: PBE
Structure: relaxed

energy of formation from the pure elements: 96 meV per atom
M_tot: 6.89 μB/f.u.

a = 5.1297 Å, b = 5.1297 Å, c = 5.1297 Å
α = 60.00°, β = 60.00°, γ = 60.00°
Closest atoms and distances in Å follow each position.
Sites, in units of the cell vectors:
Ho  0.0000  0.0000  0.0000  4 Al 3.14, 4 Pa 3.14
Pu  0.5000  0.5000  0.5000  4 Al 3.14, 4 Pa 3.14
Pa  0.2500  0.2500  0.2500  4 Ho 3.14, 4 Pu 3.14
Al  0.7500  0.7500  0.7500  4 Ho 3.14, 4 Pu 3.14


Compound: SrRhN2
Source: the Alexandria database
Functional: PBE
Structure: relaxed

M_tot: 0.00 μB/f.u.
energy relative to the elements, uncorrected: -62 meV/atom
offset from the most stable computed form: 0.00 kJ/mol of atoms

a = 6.0916 Å, b = 8.3585 Å, c = 5.3253 Å
α = 90.00°, β = 110.79°, γ = 90.00°
Closest atoms and distances in Å follow each position.
Sites, in units of the cell vectors:
Sr  0.1650  0.1031  0.3449  4 N 2.55-2.85
Sr  0.1650  0.3969  0.8449  4 N 2.55-2.85
Sr  0.8350  0.6031  0.1551  4 N 2.55-2.85
Sr  0.8350  0.8969  0.6551  4 N 2.55-2.85
Rh  0.3945  0.6420  0.4310  4 N 1.88-2.06
Rh  0.3945  0.8580  0.9310  4 N 1.88-2.06
Rh  0.6055  0.1420  0.0690  4 N 1.88-2.06
Rh  0.6055  0.3580  0.5690  4 N 1.88-2.06
N  0.2579  0.0846  0.9082  2 Rh 2.04-2.06
N  0.2579  0.4154  0.4082  2 Rh 2.04-2.06
N  0.2680  0.6774  0.0416  2 Rh 1.88-1.96
N  0.2680  0.8226  0.5416  2 Rh 1.88-1.96
N  0.7320  0.1774  0.4584  2 Rh 1.88-1.96
N  0.7320  0.3226  0.9584  2 Rh 1.88-1.96
N  0.7421  0.5846  0.5918  2 Rh 2.04-2.06
N  0.7421  0.9154  0.0918  2 Rh 2.04-2.06


Compound: LaSmThCo
Source: the Alexandria database
Functional: PBE
Structure: relaxed

energy of formation from the pure elements: 20 meV per atom
M_tot: 0.00 μB/f.u.

a = 3.7870 Å, b = 3.7870 Å, c = 9.5413 Å
α = 90.02°, β = 90.02°, γ = 60.01°
Closest atoms and distances in Å follow each position.
Sites, in units of the cell vectors:
La  0.0000  0.0000  0.0000  3 Th 3.75-3.76, 3 Sm 3.75-3.76, 6 La 3.79
Sm  0.3331  0.3331  0.3202  3 Co 2.87-2.88
Th  0.3343  0.3343  0.6798  3 Co 2.69
Co  0.0004  0.0004  0.5158  3 Th 2.69, 3 Sm 2.87-2.88


Compound: NaPdI2N
Source: the Alexandria database
Functional: PBE
Structure: relaxed

M_tot: 0.00 μB/f.u.
energy relative to the elements, uncorrected: 109 meV/atom
offset from the most stable computed form: 0.00 kJ/mol of atoms

a = 5.8425 Å, b = 5.8425 Å, c = 3.8151 Å
α = 90.00°, β = 90.00°, γ = 90.00°
Closest atoms and distances in Å follow each position.
Sites, in units of the cell vectors:
Na  0.0000  0.0000  0.0000  8 I 3.49, 2 Na 3.82
Pd  0.5000  0.5000  0.5000  2 N 1.91
I  0.0000  0.5000  0.5000  2 Pd 2.92
I  0.5000  0.0000  0.5000  2 Pd 2.92
N  0.5000  0.5000  0.0000  2 Pd 1.91


Compound: CaPaHgGe
Source: the Alexandria database
Functional: PBE
Structure: relaxed

energy of formation from the pure elements: -179 meV per atom
M_tot: 0.86 μB/f.u.

a = 5.1924 Å, b = 5.1924 Å, c = 5.1924 Å
α = 60.00°, β = 60.00°, γ = 60.00°
Closest atoms and distances in Å follow each position.
Sites, in units of the cell vectors:
Ca  0.0000  0.0000  0.0000  4 Ge 3.18, 4 Hg 3.18
Pa  0.5000  0.5000  0.5000  4 Ge 3.18, 4 Hg 3.18
Hg  0.2500  0.2500  0.2500  4 Pa 3.18, 4 Ca 3.18
Ge  0.7500  0.7500  0.7500  4 Pa 3.18, 4 Ca 3.18


Compound: Bi2Te2Br
Source: the Alexandria database
Functional: PBE
Structure: relaxed

M_tot: 0.00 μB/f.u.
energy relative to the elements, uncorrected: -145 meV/atom
offset from the most stable computed form: 3.58 kJ/mol of atoms

a = 6.7174 Å, b = 6.7174 Å, c = 6.7174 Å
α = 128.53°, β = 128.53°, γ = 75.77°
Closest atoms and distances in Å follow each position.
Sites, in units of the cell vectors:
Bi  0.1517  0.1517  0.0000  4 Te 3.10, 1 Bi 3.22
Bi  0.8483  0.8483  0.0000  4 Te 3.10, 1 Bi 3.22
Te  0.2500  0.7500  0.5000  4 Bi 3.10
Te  0.7500  0.2500  0.5000  4 Bi 3.10
Br  0.5000  0.5000  0.0000  2 Bi 3.69, 8 Te 3.94


Compound: ThCuPbS4
Source: the Alexandria database
Functional: PBE
Structure: relaxed

M_tot: 0.00 μB/f.u.
energy relative to the elements, uncorrected: -1021 meV/atom

a = 6.8736 Å, b = 5.7014 Å, c = 8.4131 Å
α = 90.00°, β = 107.47°, γ = 90.00°
Closest atoms and distances in Å follow each position.
Sites, in units of the cell vectors:
Th  0.2397  0.2500  0.4417  8 S 2.82-3.05
Th  0.7603  0.7500  0.5583  8 S 2.82-3.05
Cu  0.2613  0.7500  0.6814  4 S 2.26-2.33
Cu  0.7387  0.2500  0.3186  4 S 2.26-2.33
Pb  0.2110  0.2500  0.9468  4 S 2.82-3.02
Pb  0.7890  0.7500  0.0532  4 S 2.82-3.02
S  0.0688  0.7500  0.8671  1 Cu 2.33
S  0.0754  0.7500  0.4049  1 Cu 2.29
S  0.4808  0.5123  0.2720  1 Cu 2.26
S  0.4808  0.9877  0.2720  1 Cu 2.26
S  0.5192  0.0123  0.7280  1 Cu 2.26
S  0.5192  0.4877  0.7280  1 Cu 2.26
S  0.9246  0.2500  0.5951  1 Cu 2.29
S  0.9312  0.2500  0.1329  1 Cu 2.33


Compound: YRu2Pt
Source: the Alexandria database
Functional: PBE
Structure: relaxed

energy of formation from the pure elements: -83 meV per atom
M_tot: 0.00 μB/f.u.
offset from the most stable computed form: 12.63 kJ/mol of atoms

a = 5.0035 Å, b = 5.0035 Å, c = 5.0035 Å
α = 131.86°, β = 131.86°, γ = 70.46°
Closest atoms and distances in Å follow each position.
Sites, in units of the cell vectors:
Y  0.0000  0.0000  0.0000  4 Pt 2.89, 8 Ru 2.89
Ru  0.2500  0.7500  0.5000  4 Ru 2.89, 4 Pt 2.89, 4 Y 2.89
Ru  0.7500  0.2500  0.5000  4 Ru 2.89, 4 Pt 2.89, 4 Y 2.89
Pt  0.5000  0.5000  0.0000  4 Y 2.89, 8 Ru 2.89


Compound: Pr12YEr7
Source: the Alexandria database
Functional: PBE
Structure: relaxed

energy of formation from the pure elements: 216 meV per atom
M_tot: 0.00 μB/f.u.
offset from the most stable computed form: 0.00 kJ/mol of atoms

a = 8.8907 Å, b = 8.8907 Å, c = 8.8907 Å
α = 86.92°, β = 86.92°, γ = 86.92°
Closest atoms and distances in Å follow each position.
Sites, in units of the cell vectors:
Pr  0.1013  0.3466  0.4198  7 Pr 3.51-3.88, 3 Er 3.59-3.78
Pr  0.2261  0.7563  0.3490  5 Er 3.26-3.64, 2 Pr 3.60
Pr  0.2437  0.6510  0.7739  5 Er 3.26-3.64, 2 Pr 3.60
Pr  0.3466  0.4198  0.1013  7 Pr 3.51-3.88, 3 Er 3.59-3.78
Pr  0.3490  0.2261  0.7563  5 Er 3.26-3.64, 2 Pr 3.60
Pr  0.4198  0.1013  0.3466  7 Pr 3.51-3.88, 3 Er 3.59-3.78
Pr  0.5802  0.8987  0.6534  7 Pr 3.51-3.88, 3 Er 3.59-3.78
Pr  0.6510  0.7739  0.2437  5 Er 3.26-3.64, 2 Pr 3.60
Pr  0.6534  0.5802  0.8987  7 Pr 3.51-3.88, 3 Er 3.59-3.78
Pr  0.7563  0.3490  0.2261  5 Er 3.26-3.64, 2 Pr 3.60
Pr  0.7739  0.2437  0.6510  5 Er 3.26-3.64, 2 Pr 3.60
Pr  0.8987  0.6534  0.5802  7 Pr 3.51-3.88, 3 Er 3.59-3.78
Y  0.0000  0.0000  0.0000  6 Er 3.31
Er  0.0047  0.3607  0.8865  5 Pr 3.26-3.64, 1 Er 3.27, 1 Y 3.31
Er  0.1135  0.9953  0.6393  5 Pr 3.26-3.64, 1 Er 3.27, 1 Y 3.31
Er  0.3607  0.8865  0.0047  5 Pr 3.26-3.64, 1 Er 3.27, 1 Y 3.31
Er  0.5000  0.5000  0.5000  6 Pr 3.51
Er  0.6393  0.1135  0.9953  5 Pr 3.26-3.64, 1 Er 3.27, 1 Y 3.31
Er  0.8865  0.0047  0.3607  5 Pr 3.26-3.64, 1 Er 3.27, 1 Y 3.31
Er  0.9953  0.6393  0.1135  5 Pr 3.26-3.64, 1 Er 3.27, 1 Y 3.31


Compound: Li2TcTeN
Source: the Alexandria database
Functional: PBE
Structure: relaxed

M_tot: 3.66 μB/f.u.
energy relative to the elements, uncorrected: 1413 meV/atom
offset from the most stable computed form: 97.38 kJ/mol of atoms

a = 4.8764 Å, b = 4.8764 Å, c = 5.2768 Å
α = 90.00°, β = 90.00°, γ = 90.00°
Closest atoms and distances in Å follow each position.
Sites, in units of the cell vectors:
Li  0.0000  0.5000  0.0000  2 Te 2.44
Li  0.5000  0.0000  0.0000  2 Te 2.44
Tc  0.0000  0.0000  0.5000  2 Te 2.64
Te  0.0000  0.0000  0.0000  4 Li 2.44, 2 Tc 2.64
N  0.5000  0.5000  0.5000  4 Tc 3.45, 8 Li 3.59


Compound: CaPICl2
Source: the Alexandria database
Functional: PBE
Structure: relaxed

M_tot: 0.00 μB/f.u.
energy relative to the elements, uncorrected: -55 meV/atom
offset from the most stable computed form: 48.54 kJ/mol of atoms

a = 5.4008 Å, b = 5.4008 Å, c = 5.3647 Å
α = 90.00°, β = 90.00°, γ = 90.00°
Closest atoms and distances in Å follow each position.
Sites, in units of the cell vectors:
Ca  0.0000  0.0000  0.0000  8 Cl 3.81, 4 P 3.82
P  0.5000  0.5000  0.0000  2 I 2.68
I  0.5000  0.5000  0.5000  2 P 2.68, 4 Cl 2.70
Cl  0.0000  0.5000  0.5000  2 I 2.70
Cl  0.5000  0.0000  0.5000  2 I 2.70